(1)
Below is an optimized crystal structure of AsAu3S4, with properties calculated at the GGA-PBE level.

abc: 6.9479 6.9479 6.9479
angles: 131.77 131.77 70.59
Last column: nearest neighbours and their distance in Å.
Sites, in units of the cell vectors:
Au (0.2500, 0.7500, 0.5000)  4 S 2.50
Au (0.7500, 0.2500, 0.5000)  4 S 2.50
Au (0.5000, 0.5000, 0.0000)  4 S 2.52
S (0.8837, 0.8837, 0.5293)  1 As 2.32, 3 Au 2.50-2.52
S (0.1163, 0.6456, 0.0000)  1 As 2.32, 3 Au 2.50-2.52
S (0.6456, 0.1163, 0.0000)  1 As 2.32, 3 Au 2.50-2.52
S (0.3544, 0.3544, 0.4707)  1 As 2.32, 3 Au 2.50-2.52
As (0.0000, 0.0000, 0.0000)  4 S 2.32

Results
E: -0.1379 Ha/atom
SG: I-42m, No. 121


(2)
Below is an optimized crystal structure of OsPtNO, with properties calculated at the GGA-PBE level.

abc: 4.1183 4.1183 5.3051
angles: 90.00 90.00 90.00
Last column: nearest neighbours and their distance in Å.
Sites, in units of the cell vectors:
O (0.5000, 0.5000, 0.0000)  4 Os 2.11
O (0.0000, 0.0000, 0.0000)  4 Os 2.11
Os (0.5000, 0.0000, 0.0842)  1 N 1.85
Os (0.0000, 0.5000, 0.9158)  1 N 1.85
Pt (0.5000, 0.5000, 0.5000)  4 N 2.41, 2 O 2.65
Pt (0.0000, 0.0000, 0.5000)  4 N 2.41, 2 O 2.65
N (0.5000, 0.0000, 0.7359)  1 Os 1.85
N (0.0000, 0.5000, 0.2641)  1 Os 1.85

Results
E: -0.2495 Ha/atom
Total magnetic moment: 0.7 Bohr magnetons per cell
SG: P4/nmm, No. 129


(3)
Below is an optimized crystal structure of TaNi2Bi, with properties calculated at the GGA-PBE level.

abc: 4.5252 4.5252 4.5252
angles: 60.00 60.00 60.00
Last column: nearest neighbours and their distance in Å.
Sites, in units of the cell vectors:
Bi (0.5000, 0.5000, 0.5000)  4 Ta 2.77, 4 Ni 2.77
Ni (0.0000, 0.0000, 0.0000)  4 Ta 2.77, 4 Ni 2.77
Ni (0.7500, 0.7500, 0.7500)  4 Bi 2.77, 4 Ni 2.77
Ta (0.2500, 0.2500, 0.2500)  4 Ni 2.77, 4 Bi 2.77

Results
E: -0.2331 Ha/atom
Total magnetic moment: 0.0 Bohr magnetons per cell
SG: F-43m, No. 216


(4)
Below is an optimized crystal structure of CsErSc, with properties calculated at the GGA-PBE level.

abc: 5.8377 5.8377 5.8377
angles: 60.00 60.00 60.00
Last column: nearest neighbours and their distance in Å.
Sites, in units of the cell vectors:
Er (0.7500, 0.7500, 0.7500)  4 Sc 3.57
Sc (0.0000, 0.0000, 0.0000)  4 Cs 3.57, 4 Er 3.57
Cs (0.2500, 0.2500, 0.2500)  4 Sc 3.57

Results
E: -0.0952 Ha/atom
Total magnetic moment: 0.1 Bohr magnetons per cell
SG: F-43m, No. 216


(5)
Below is an optimized crystal structure of KPrNp, with properties calculated at the GGA-PBE level.

abc: 5.6240 5.6240 5.6240
angles: 60.00 60.00 60.00
Last column: nearest neighbours and their distance in Å.
Sites, in units of the cell vectors:
K (0.0000, 0.0000, 0.0000)  4 Pr 3.44, 4 Np 3.44
Np (0.2500, 0.2500, 0.2500)  4 K 3.44
Pr (0.7500, 0.7500, 0.7500)  4 K 3.44

Results
E: -0.1657 Ha/atom
Total magnetic moment: 7.1 Bohr magnetons per cell
SG: F-43m, No. 216


(6)
Below is an optimized crystal structure of Ho2Br2NCl, with properties calculated at the GGA-PBE level.

abc: 9.5114 9.5114 11.6143
angles: 126.38 126.38 23.16
Last column: nearest neighbours and their distance in Å.
Sites, in units of the cell vectors:
N (0.5764, 0.5764, 0.6568)  4 Ho 2.22-2.29
N (0.4236, 0.4236, 0.3432)  4 Ho 2.22-2.29
Ho (0.5726, 0.5726, 0.4618)  2 N 2.22-2.23
Ho (0.8612, 0.8612, 0.2085)  2 N 2.29
Ho (0.1388, 0.1388, 0.7915)  2 N 2.29
Ho (0.4274, 0.4274, 0.5382)  2 N 2.22-2.23
Br (0.7844, 0.7844, 0.3742)  3 Ho 2.87-3.01
Br (0.9687, 0.9687, 0.7565)  3 Ho 2.88-2.94
Br (0.2156, 0.2156, 0.6258)  3 Ho 2.87-3.01
Br (0.0313, 0.0313, 0.2435)  3 Ho 2.88-2.94
Cl (0.6766, 0.6766, 0.0059)  3 Ho 2.75-2.87
Cl (0.3234, 0.3234, 0.9941)  3 Ho 2.75-2.87

Results
E: -0.2099 Ha/atom
Total magnetic moment: 0.0 Bohr magnetons per cell
SG: C2/m, No. 12


(7)
Below is an optimized crystal structure of CoRePd2, with properties calculated at the GGA-PBE level.

abc: 4.3074 4.3074 4.3074
angles: 60.00 60.00 60.00
Last column: nearest neighbours and their distance in Å.
Sites, in units of the cell vectors:
Pd (0.0000, 0.0000, 0.0000)  4 Co 2.64, 4 Pd 2.64
Pd (0.7500, 0.7500, 0.7500)  4 Re 2.64, 4 Pd 2.64
Co (0.2500, 0.2500, 0.2500)  4 Pd 2.64, 4 Re 2.64
Re (0.5000, 0.5000, 0.5000)  4 Pd 2.64, 4 Co 2.64

Results
Total magnetic moment: 0.3 Bohr magnetons per cell
Energy of formation: 0.370 eV/atom
SG: F-43m, No. 216


(8)
Below is an optimized crystal structure of NbCu, with properties calculated at the GGA-PBE level.

abc: 2.7647 2.7647 4.6336
angles: 90.00 90.00 120.00
Last column: nearest neighbours and their distance in Å.
Sites, in units of the cell vectors:
Cu (0.6667, 0.3333, 0.7500)  6 Cu 2.76, 6 Nb 2.81
Nb (0.3333, 0.6667, 0.2500)  6 Nb 2.76, 6 Cu 2.81

Results
Total magnetic moment: 0.0 Bohr magnetons per cell
Energy of formation: 0.251 eV/atom
SG: P-6m2, No. 187


Question: Number 5 is which compound?
Answer: KPrNp